DFT (PBE) results for an optimized crystal structure of Ba2AsIr.

Geometry as POSCAR:
```
Ba2AsIr
1.0
-3.024 2.988 1.877
-3.513 -1.632 -3.063
-3.198 -4.571 2.125
As Ir Ba
1 1 2
direct
0.500 0.582 0.710
0.000 0.668 0.540
0.000 0.978 0.919
0.500 0.272 0.331
```

Space group: Amm2
ΔE_f (kJ per mole of atoms): -56.9
Total moment (Bohr magnetons per cell): 0.00